Record 1
## Ca2IrRh (SCAN)

Data for a PBEsol-optimized structure of Ca2IrRh.

Lattice parameters (Å, degrees): 6.1919 7.8096 3.0949 90.00 90.00 90.00
Last column: nearest neighbours and their distance in Å.
Space group Cmmm (No. 65)
One atom of each set of equivalent atoms:
Ca 0.2500 0.2500 0.0000  4 Ir 2.93, 4 Rh 2.93, 4 Ca 3.09-3.10
Ir 0.0000 0.0000 0.5000  8 Ca 2.93, 2 Ir 3.09, 2 Rh 3.10
Rh 0.0000 0.5000 0.5000  8 Ca 2.93, 2 Rh 3.09, 2 Ir 3.10

Calculated values
Fermi-level density of states (states/eV per atom): 0.6370
Energy of formation from the pure elements (meV per atom): -162

Record 2
## Ca2IrRh (SCAN)

Data for a PBEsol-optimized structure of Ca2IrRh.

Lattice parameters (Å, degrees): 10.8662 2.9890 5.0697 90.00 109.67 90.00
Last column: nearest neighbours and their distance in Å.
Space group Cm (No. 8)
One atom of each set of equivalent atoms:
Ca 0.0000 0.0000 0.0000  4 Rh 2.95-3.05, 3 Ir 2.96-3.04, 3 Ca 2.99-3.16
Ca 0.2034 0.0000 0.6151  3 Rh 2.94-3.06, 4 Ir 2.95-3.04, 3 Ca 2.99-3.16
Ir 0.2583 0.5000 0.1445  2 Rh 2.61
Rh 0.4438 0.0000 0.4717  2 Ir 2.61

Calculated values
Fermi-level density of states (states/eV per atom): 0.5130
Energy of formation from the pure elements (meV per atom): -260

Record 3
## CaIrRh2S (SCAN)

Data for a PBEsol-optimized structure of CaIrRh2S.

Lattice parameters (Å, degrees): 4.5856 4.5856 5.4704 90.00 90.00 90.00
Last column: nearest neighbours and their distance in Å.
Space group P4/mmm (No. 123)
One atom of each set of equivalent atoms:
Ca 0.0000 0.0000 0.0000  2 Ir 2.74
Ir 0.0000 0.0000 0.5000  4 Rh 2.29
Rh 0.0000 0.5000 0.5000  2 Ir 2.29
S 0.5000 0.5000 0.0000  4 Ca 3.24, 8 Rh 3.57

Calculated values
Fermi-level density of states (states/eV per atom): 0.6987
E_form (uncorrected) (kJ/mol of atoms): 55.5

Record 4
## Ca2IrRu (SCAN)

Data for a PBEsol-optimized structure of Ca2IrRu.

Lattice parameters (Å, degrees): 3.0544 4.8926 10.4709 90.00 90.00 90.00
Last column: nearest neighbours and their distance in Å.
Space group Imm2 (No. 44)
One atom of each set of equivalent atoms:
Ca 0.0000 0.0000 0.0000  4 Ru 2.93, 2 Ca 3.05, 2 Ir 3.07
Ca 0.0000 0.5000 0.2121  4 Ir 2.92, 2 Ca 3.05, 2 Ru 3.14
Ir 0.0000 0.5000 0.7546  2 Ru 2.56
Ru 0.0000 0.0000 0.4503  2 Ir 2.56

Calculated values
Fermi-level density of states (states/eV per atom): 0.7573
Energy of formation from the pure elements (meV per atom): 53

Record 5
## Ca2IrRu (SCAN)

Data for a PBEsol-optimized structure of Ca2IrRu.

Lattice parameters (Å, degrees): 3.0777 3.0777 26.8756 90.00 90.00 120.00
Last column: nearest neighbours and their distance in Å.
Space group R-3m (No. 166, hexagonal axes)
One atom of each set of equivalent atoms:
Ca 0.0000 0.0000 0.2494  3 Ru 2.85, 3 Ir 2.87, 6 Ca 3.08
Ir 0.0000 0.0000 0.0000  6 Ca 2.87, 6 Ir 3.08
Ru 0.0000 0.0000 0.5000  6 Ca 2.85, 6 Ru 3.08

Calculated values
Fermi-level density of states (states/eV per atom): 0.7292
Energy of formation from the pure elements (meV per atom): 377

Record 6
## CaIrRu2 (SCAN)

Data for a PBEsol-optimized structure of CaIrRu2.

Lattice parameters (Å, degrees): 2.7908 2.7908 8.1213 90.00 90.00 90.00
Last column: nearest neighbours and their distance in Å.
Space group P4mm (No. 99)
One atom of each set of equivalent atoms:
Ca 0.0000 0.0000 0.0000  4 Ca 2.79, 4 Ir 3.03, 4 Ru 3.08
Ir 0.5000 0.5000 0.2835  4 Ru 2.65, 4 Ir 2.79
Ru 0.0000 0.0000 0.5022  8 Ru 2.59-2.79, 4 Ir 2.65
Ru 0.5000 0.5000 0.7086  8 Ru 2.59-2.79

Calculated values
Fermi-level density of states (states/eV per atom): 0.8317
Energy relative to the lowest polymorph listed for this composition (eV/atom): 0.0000
Energy of formation from the pure elements (meV per atom): 175

Record 7
## Ca2IrRu (SCAN)

Data for a PBEsol-optimized structure of Ca2IrRu.

Lattice parameters (Å, degrees): 3.3965 3.3965 8.2643 90.00 90.00 90.00
Last column: nearest neighbours and their distance in Å.
Space group P4mm (No. 99)
One atom of each set of equivalent atoms:
Ca 0.0000 0.0000 0.0000  1 Ir 2.90, 4 Ru 3.21
Ca 0.5000 0.5000 0.3999  1 Ru 2.83, 4 Ir 3.17
Ir 0.0000 0.0000 0.6494  4 Ru 2.52
Ru 0.5000 0.5000 0.7429  4 Ir 2.52

Calculated values
Fermi-level density of states (states/eV per atom): 1.0137
Energy of formation from the pure elements (meV per atom): 119

Record 8
## CaIrRu2 (SCAN)

Data for a PBEsol-optimized structure of CaIrRu2.

Lattice parameters (Å, degrees): 2.7766 4.5543 5.1001 90.00 99.06 90.00
Last column: nearest neighbours and their distance in Å.
Space group P2/m (No. 10)
One atom of each set of equivalent atoms:
Ca 0.0000 0.0000 0.0000  2 Ir 2.70, 2 Ca 2.78, 4 Ru 2.90
Ir 0.5000 0.0000 0.5000  4 Ru 2.62, 2 Ca 2.70, 2 Ir 2.78
Ru 0.3111 0.5000 0.7169  4 Ru 2.58-2.78, 2 Ir 2.62

Calculated values
Fermi-level density of states (states/eV per atom): 0.9342
Energy relative to the lowest polymorph listed for this composition (eV/atom): 0.2110
Energy of formation from the pure elements (meV per atom): 386

Record 9
## Ca2TcIrRu (SCAN)

Data for a PBEsol-optimized structure of Ca2TcIrRu.

Lattice parameters (Å, degrees): 5.2189 5.2189 4.5866 90.00 90.00 90.00
Last column: nearest neighbours and their distance in Å.
Space group P4/mmm (No. 123)
One atom of each set of equivalent atoms:
Ca 0.0000 0.5000 0.0000  2 Ir 2.61
Tc 0.0000 0.0000 0.5000  2 Ir 2.29
Ir 0.0000 0.0000 0.0000  2 Tc 2.29
Ru 0.5000 0.5000 0.5000  8 Ca 3.47, 4 Tc 3.69

Calculated values
Fermi-level density of states (states/eV per atom): 0.5612
Energy of formation from the pure elements (meV per atom): 1000

Record 10
## Ca3IrS (SCAN)

Data for a PBEsol-optimized structure of Ca3IrS.

Lattice parameters (Å, degrees): 5.2842 5.2842 5.2842 90.00 90.00 90.00
Last column: nearest neighbours and their distance in Å.
Space group Pm-3m (No. 221)
One atom of each set of equivalent atoms:
Ca 0.0000 0.0000 0.5000  2 Ir 2.64
Ir 0.0000 0.0000 0.0000  6 Ca 2.64
S 0.5000 0.5000 0.5000  12 Ca 3.74

Calculated values
Fermi-level density of states (states/eV per atom): 0.6138
E_form (uncorrected) (kJ/mol of atoms): -48.7

Record 11
## CaIrS2 (SCAN)

Data for a PBEsol-optimized structure of CaIrS2.

Lattice parameters (Å, degrees): 3.6890 3.6890 22.6699 90.00 90.00 120.00
Last column: nearest neighbours and their distance in Å.
Space group R-3m (No. 166, hexagonal axes)
One atom of each set of equivalent atoms:
Ca 0.0000 0.0000 0.0000  2 S 2.70
Ir 0.0000 0.0000 0.5000  6 S 2.39
S 0.0000 0.0000 0.1189  3 Ir 2.39

Calculated values
Fermi-level density of states (states/eV per atom): 0.2185
E_form (uncorrected) (kJ/mol of atoms): -58.3

Record 12
## Ca2SbIrS (SCAN)

Data for a PBEsol-optimized structure of Ca2SbIrS.

Lattice parameters (Å, degrees): 5.0222 5.0222 5.0484 90.00 90.00 90.00
Last column: nearest neighbours and their distance in Å.
Space group P4/mmm (No. 123)
One atom of each set of equivalent atoms:
Ca 0.0000 0.5000 0.0000  2 S 2.51
Sb 0.0000 0.0000 0.5000  2 S 2.52
Ir 0.5000 0.5000 0.5000  4 Sb 3.55, 8 Ca 3.56
S 0.0000 0.0000 0.0000  4 Ca 2.51, 2 Sb 2.52

Calculated values
Fermi-level density of states (states/eV per atom): 0.5964
E_form (uncorrected) (kJ/mol of atoms): -4.9

Magnetic moment per entry: 0.0; 0.0; 0.0; 0.4; 0.0; 0.0; 0.0; 1.8; 3.5; 0.0; 0.0; 0.0 μB/f.u.
Calculated total energy per entry: -31.212; -31.310; -31.012; -31.260; -30.936; -37.429; -31.194; -37.218; -31.062; -22.448; -25.609; -27.514 eV/atom